Computed, not measured: an optimized crystal structure of LiZrTlS3 at the PBE-GGA level of DFT.

Volume (Å³ per cell): 283.78
Formation energy from raw total energies (meV per atom): -1204
Crystal system: monoclinic

Lattice parameters (Å, degrees): 3.8211 8.6449 9.0417 108.17 90.00 90.00
Sites, in units of the cell vectors:
S1 0.2500 0.1366 0.8794
Li1 0.2500 0.0730 0.6042
Zr1 0.7500 0.3236 0.8433
S2 0.2500 0.7867 0.4457
Li2 0.7500 0.9270 0.3958
Tl1 0.7500 0.7856 0.7437
Tl2 0.2500 0.2144 0.2563
S3 0.7500 0.4655 0.1526
S4 0.7500 0.2133 0.5543
S5 0.2500 0.5345 0.8474
S6 0.7500 0.8634 0.1206
Zr2 0.2500 0.6764 0.1567

Computed, not measured: an optimized crystal structure of LiZr2Tl2S6 at the PBE-GGA level of DFT.

Volume (Å³ per cell): 269.92
Formation energy from raw total energies (meV per atom): -1091
Crystal system: monoclinic

Lattice parameters (Å, degrees): 6.6180 6.6180 7.4818 97.93 97.93 120.91
Sites, in units of the cell vectors:
Li1 0.0000 0.0000 0.5000
S1 0.9396 0.5827 0.2969
Tl1 0.1611 0.8389 0.0000
S2 0.0604 0.4173 0.7031
Zr1 0.6654 0.3346 0.5000
S3 0.5827 0.9396 0.2969
Zr2 0.3346 0.6654 0.5000
S4 0.2775 0.2775 0.3079
S5 0.7225 0.7225 0.6921
S6 0.4173 0.0604 0.7031
Tl2 0.8389 0.1611 0.0000

Computed, not measured: an optimized crystal structure of Li2ZrTl2S4 at the PBE-GGA level of DFT.

Volume (Å³ per cell): 199.66
Formation energy from raw total energies (meV per atom): -1071
Crystal system: monoclinic

Lattice parameters (Å, degrees): 3.8921 7.5143 7.5231 109.33 104.99 90.00
Sites, in units of the cell vectors:
Li1 0.3202 0.0212 0.6404
S1 0.4867 0.2246 0.9734
S2 0.8108 0.8337 0.6217
S3 0.1892 0.1663 0.3783
S4 0.5133 0.7754 0.0266
Tl1 0.8596 0.4422 0.7192
Li2 0.6798 0.9788 0.3596
Tl2 0.1404 0.5578 0.2808
Zr1 0.0000 0.0000 0.0000

Computed, not measured: an optimized crystal structure of LiZr2TlS at the PBE-GGA level of DFT.

Volume (Å³ per cell): 105.72
Formation energy from raw total energies (meV per atom): -542
Crystal system: tetragonal

Lattice parameters (Å, degrees): 4.8937 4.8937 4.4144 90.00 90.00 90.00
Sites, in units of the cell vectors:
Zr1 0.5000 0.0000 0.0000
Tl1 0.5000 0.5000 0.5000
Zr2 0.0000 0.5000 0.0000
S1 0.0000 0.0000 0.0000
Li1 0.0000 0.0000 0.5000

Computed, not measured: an optimized crystal structure of LiTm5S6 at the PBE-GGA level of DFT.

Volume (Å³ per cell): 237.44
Formation energy from raw total energies (meV per atom): -1925
Crystal system: monoclinic

Lattice parameters (Å, degrees): 6.6363 6.6214 6.6182 59.98 80.41 70.55
Sites, in units of the cell vectors:
Li1 0.0000 0.0000 0.0000
Tm1 0.0000 0.3345 0.3309
Tm2 0.5000 0.5000 0.0000
Tm3 0.5000 0.1654 0.6692
S1 0.2471 0.5908 0.3274
S2 0.7569 0.7562 0.0000
S3 0.7529 0.4092 0.6726
S4 0.2431 0.2438 0.0000
S5 0.7529 0.0818 0.3274
Tm4 0.0000 0.6655 0.6691
Tm5 0.5000 0.8346 0.3308
S6 0.2471 0.9182 0.6726

Computed, not measured: an optimized crystal structure of LiTm2S at the PBE-GGA level of DFT.

Volume (Å³ per cell): 99.54
Formation energy from raw total energies (meV per atom): -814
Crystal system: trigonal
Polymorph energy (0 for the lowest one) (meV per atom): 0

Lattice parameters (Å, degrees): 3.6525 3.6525 8.8730 78.15 78.15 59.95
Sites, in units of the cell vectors:
Tm1 0.2706 0.2706 0.1894
S1 0.6669 0.6669 0.9992
Tm2 0.0628 0.0628 0.8107
Li1 0.4997 0.4997 0.5008

Computed, not measured: an optimized crystal structure of LiTm4S5 at the PBE-GGA level of DFT.

Volume (Å³ per cell): 197.59
Formation energy from raw total energies (meV per atom): -1919
Crystal system: tetragonal

Lattice parameters (Å, degrees): 5.3955 6.6257 6.6257 80.46 65.97 65.97
Sites, in units of the cell vectors:
S1 0.7068 0.1981 0.3905
Tm1 0.6024 0.5994 0.1980
Tm2 0.3997 0.4006 0.8020
S2 0.0973 0.6095 0.1981
Tm3 0.8004 0.8020 0.5994
S3 0.9048 0.3905 0.8019
S4 0.2954 0.8019 0.6095
Tm4 0.2018 0.1980 0.4006
S5 0.5010 0.0000 0.0000
Li1 0.0007 0.0000 0.0000

Computed, not measured: an optimized crystal structure of LiTmS2 at the PBE-GGA level of DFT.

Volume (Å³ per cell): 79.32
Formation energy from raw total energies (meV per atom): -1726
Crystal system: trigonal

Lattice parameters (Å, degrees): 3.7501 3.7501 6.8627 74.14 74.14 60.00
Sites, in units of the cell vectors:
S1 0.2496 0.2496 0.2512
S2 0.0808 0.0808 0.7575
Tm1 0.4989 0.4989 0.5034
Li1 0.6707 0.6707 0.9879

Computed, not measured: an optimized crystal structure of Li3Tm2S4 at the PBE-GGA level of DFT.

Volume (Å³ per cell): 190.06
Formation energy from raw total energies (meV per atom): -1631
Crystal system: monoclinic

Lattice parameters (Å, degrees): 3.8159 3.8159 15.0719 90.04 89.96 120.00
Sites, in units of the cell vectors:
S1 0.0006 0.9994 0.6890
Li1 0.0000 0.0000 0.0000
S2 0.9994 0.0006 0.3110
Tm1 0.3330 0.6670 0.2031
Li2 0.6659 0.3341 0.3886
Tm2 0.6670 0.3330 0.7969
S3 0.6665 0.3335 0.1021
S4 0.3335 0.6665 0.8979
Li3 0.3341 0.6659 0.6114

Computed, not measured: an optimized crystal structure of LiTmS at the PBE-GGA level of DFT.

Volume (Å³ per cell): 135.00
Formation energy from raw total energies (meV per atom): -1049
Crystal system: trigonal

Lattice parameters (Å, degrees): 4.5678 4.5678 7.9231 73.25 73.25 60.00
Sites, in units of the cell vectors:
Li1 0.8227 0.8227 0.5319
S1 0.2836 0.2836 0.1493
Li2 0.1773 0.1773 0.4681
Tm1 0.4068 0.4068 0.7797
S2 0.7164 0.7164 0.8507
Tm2 0.5932 0.5932 0.2203

Computed, not measured: an optimized crystal structure of LiTm6S5 at the PBE-GGA level of DFT.

Volume (Å³ per cell): 491.33
Formation energy from raw total energies (meV per atom): -1501
Crystal system: hexagonal

Lattice parameters (Å, degrees): 6.4855 6.4855 13.4882 90.00 90.00 120.00
Sites, in units of the cell vectors:
S1 0.6543 0.6543 0.2500
S2 0.0000 0.6543 0.7500
S3 0.6667 0.3333 0.0000
S4 0.3333 0.6667 0.0000
Tm1 0.6663 0.6663 0.8861
Tm2 0.0000 0.3337 0.8861
S5 0.3457 0.3457 0.7500
Tm3 0.6663 0.0000 0.3861
Tm4 0.0000 0.6663 0.1139
S6 0.6543 0.0000 0.7500
Tm5 0.6663 0.0000 0.1139
Tm6 0.3337 0.0000 0.6139
Tm7 0.3337 0.3337 0.3861
S7 0.0000 0.3457 0.2500
Tm8 0.0000 0.3337 0.6139
Tm9 0.6663 0.6663 0.6139
Li1 0.0000 0.0000 0.2500
Li2 0.0000 0.0000 0.7500
Tm10 0.0000 0.6663 0.3861
S8 0.3457 0.0000 0.2500
S9 0.6667 0.3333 0.5000
Tm11 0.3337 0.0000 0.8861
Tm12 0.3337 0.3337 0.1139
S10 0.3333 0.6667 0.5000

Computed, not measured: an optimized crystal structure of LiTm2S at the PBE-GGA level of DFT.

Volume (Å³ per cell): 108.12
Formation energy from raw total energies (meV per atom): -690
Crystal system: trigonal
Polymorph energy (0 for the lowest one) (meV per atom): 125

Lattice parameters (Å, degrees): 3.5927 3.5927 9.8922 79.54 79.54 60.00
Sites, in units of the cell vectors:
Li1 0.0000 0.0000 0.0000
Tm1 0.8901 0.8901 0.3298
Tm2 0.1099 0.1099 0.6702
S1 0.5000 0.5000 0.5000

no.,electronic total energy (eV/atom)
1,-5.406
2,-5.501
3,-4.806
4,-5.642
5,-6.011
6,-4.560
7,-5.963
8,-5.386
9,-5.097
10,-4.553
11,-5.616
12,-4.436